Below is a relaxed Ca5ZnHg2 crystal, with properties calculated at the PBE-GGA level.

Unit cell a=6.905 b=13.104 c=5.239 alpha=90.00 beta=90.00 gamma=90.00
Positions (direct):
1 Ca 0.000 0.000 0.000
2 Ca 0.131 0.281 0.000
3 Ca 0.173 0.601 0.500
4 Ca 0.327 0.101 0.500
5 Ca 0.369 0.781 0.000
6 Ca 0.500 0.500 0.000
7 Ca 0.631 0.219 0.000
8 Ca 0.673 0.899 0.500
9 Ca 0.827 0.399 0.500
10 Ca 0.869 0.719 0.000
11 Zn 0.000 0.500 0.000
12 Zn 0.500 0.000 0.000
13 Hg 0.137 0.858 0.500
14 Hg 0.363 0.358 0.500
15 Hg 0.637 0.642 0.500
16 Hg 0.863 0.142 0.500

Properties
The calculated total energy is -1.819 eV/atom. Its space group is Pbam (55).